Record 1
Compound: AgC2
Source: Alexandria
Functional: PBE
Structure: optimized geometry

Calculated values
uncorrected energy	-5.374	eV per atom
energy above the most stable polymorph in this dataset	1393	meV per atom
energy of formation from the pure elements	1.73	eV per atom
size of the total moment	0.000	μB/atom

Lattice parameters (Å, degrees): 9.518 9.518 2.559 90.00 90.00 164.16
Positions (direct):
1 Ag 0.124 0.876 0.750
2 Ag 0.876 0.124 0.250
3 C 0.515 0.485 0.750
4 C 0.485 0.515 0.250
5 C 0.747 0.253 0.750
6 C 0.253 0.747 0.250



Record 2
Compound: YScI2O
Source: Alexandria
Functional: PBE
Structure: optimized geometry

Calculated values
uncorrected energy	-5.484	eV per atom
energy above the most stable polymorph in this dataset	0	meV per atom
energy relative to the elements, uncorrected	-1312.9	meV per atom
size of the total moment	0.001	μB/atom

Lattice parameters (Å, degrees): 5.948 5.948 3.853 90.00 90.00 90.00
Positions (direct):
1 I 0.000 0.500 0.000
2 I 0.500 0.000 0.000
3 Y 0.500 0.500 0.500
4 Sc 0.000 0.000 0.000
5 O 0.000 0.000 0.500



Record 3
Compound: SiP2Ru
Source: Alexandria
Functional: PBE
Structure: optimized geometry

Calculated values
uncorrected energy	-6.586	eV per atom
energy relative to the elements, uncorrected	-205.9	meV per atom
size of the total moment	0.000	μB/atom

Lattice parameters (Å, degrees): 6.735 3.475 5.951 90.00 95.49 90.00
Positions (direct):
1 Ru 0.525 0.000 0.944
2 Ru 0.525 0.500 0.444
3 Si 0.025 0.000 0.669
4 Si 0.025 0.500 0.169
5 P 0.185 0.000 0.022
6 P 0.185 0.500 0.522
7 P 0.686 0.000 0.625
8 P 0.686 0.500 0.125



Record 4
Compound: Dy3Y4Er
Source: Alexandria
Functional: PBE
Structure: optimized geometry

Calculated values
uncorrected energy	-5.526	eV per atom
energy above the most stable polymorph in this dataset	0	meV per atom
energy of formation from the pure elements	0.00	eV per atom
size of the total moment	0.000	μB/atom

Lattice parameters (Å, degrees): 6.289 7.277 11.247 90.00 90.00 90.00
Positions (direct):
1 Dy 0.649 0.623 0.000
2 Dy 0.979 0.623 0.250
3 Dy 0.479 0.377 0.250
4 Dy 0.149 0.377 0.500
5 Dy 0.479 0.377 0.750
6 Dy 0.979 0.623 0.750
7 Y 0.147 0.873 0.000
8 Y 0.646 0.126 0.000
9 Y 0.983 0.126 0.250
10 Y 0.483 0.874 0.250
11 Y 0.146 0.874 0.500
12 Y 0.647 0.127 0.500
13 Y 0.483 0.874 0.750
14 Y 0.983 0.126 0.750
15 Er 0.149 0.376 0.000
16 Er 0.649 0.624 0.500



Record 5
Compound: LaSm2Sc
Source: Alexandria
Functional: PBE
Structure: optimized geometry

Calculated values
uncorrected energy	-5.130	eV per atom
energy above the most stable polymorph in this dataset	0	meV per atom
energy of formation from the pure elements	0.04	eV per atom
size of the total moment	0.000	μB/atom

Lattice parameters (Å, degrees): 5.086 5.012 5.012 90.00 90.00 90.00
Positions (direct):
1 Sc 0.500 0.000 0.000
2 Sm 0.000 0.000 0.500
3 Sm 0.000 0.500 0.000
4 La 0.500 0.500 0.500



Record 6
Compound: Nd2VBr
Source: Alexandria
Functional: PBE
Structure: optimized geometry

Calculated values
uncorrected energy	-4.961	eV per atom
energy relative to the elements, uncorrected	120.5	meV per atom
size of the total moment	0.746	μB/atom

Lattice parameters (Å, degrees): 3.456 3.456 10.843 80.83 80.83 60.00
Site moments in Bohr magnetons follow the coordinates.
Positions (direct):
1 Nd 0.089 0.089 0.732  -0.01
2 Nd 0.911 0.911 0.268  -0.01
3 Br 0.500 0.500 0.500  0.00
4 V 0.000 0.000 0.000  2.61